Crystalline BeAs2Cl at its relaxed geometry. Source: the Alexandria database, functional PBE-GGA.

## Properties
Crystal system: trigonal
D(E_F): 0.276 states/eV per atom
Formation energy without anion corrections: 0.056 eV per atom
Relative energy among the computed polymorphs: 263.4 meV/atom

Lattice parameters (Å, degrees): 6.8908 6.8908 6.8908 30.23 30.23 30.23
With the nearest neighbours (Å) after each atom.
Positions (direct):
1 Be 0.2500 0.2500 0.2500  6 As 2.35
2 Cl 0.7500 0.7500 0.7500  6 As 3.00
3 As 0.9731 0.9731 0.9731  3 Be 2.35
4 As 0.5269 0.5269 0.5269  3 Be 2.35